# LaTb3In3, relaxed, DFT GGA-PBE
# Fermi-level density of states   12.749 states/eV per cell
# Mass density   7.7 g/cm3
# Energy of formation   -35.74 kJ/mol of atoms
# Magnetization   0.000 μB/cell
# Polymorph energy (0 for the lowest one)   0 meV per atom
data_LaTb3In3
_symmetry_space_group_name_H-M 'P 63/m'
_symmetry_Int_Tables_number 176
_symmetry_space_group_name_Hall '-P 6c'
_cell_length_a 9.5582
_cell_length_b 9.5582
_cell_length_c 5.2070
_cell_angle_alpha 90.00
_cell_angle_beta 90.00
_cell_angle_gamma 120.00
loop_
_atom_site_label
_atom_site_type_symbol
_atom_site_fract_x
_atom_site_fract_y
_atom_site_fract_z
_atom_site_occupancy
La1 La 0.3333 0.6667 0.2500 1
Tb1 Tb 0.0028 0.2342 0.7500 1
In1 In 0.0680 0.6171 0.7500 1